## NbZnTc3 (GGA-PBEsol)

Data for a relaxed NbZnTc3 crystal.

Cell lengths 4.654, 4.654, 4.654 Å; angles 90.00, 90.00, 90.00 degrees
Site moments in Bohr magnetons follow the coordinates.
Sites, in units of the cell vectors:
Zn: 0.500 0.500 0.500  -0.03
Nb: 0.000 0.000 0.000  -0.09
Tc: 0.000 0.500 0.000  0.82
Tc: 0.000 0.000 0.500  0.82
Tc: 0.500 0.000 0.000  0.82

Magnetization, μB per atom: 0.4946
Energy relative to the elements, eV per formula unit: 9.8
N(E_F), states/eV/atom: 1.172